(1)
## Zn2CrPb (SCAN)

Data for a crystal of Zn2CrPb relaxed with PBEsol.

abc: 4.0262 4.0262 8.4134
angles: 90.00 90.00 90.00
Last column: nearest neighbours and their distance in Å.
Atoms (fractional coordinates):
Zn 0.0000 0.0000 0.0000  4 Pb 2.85, 4 Cr 2.91, 4 Zn 2.91
Zn 0.0000 0.5000 0.2500  4 Cr 2.85, 4 Pb 2.91, 4 Zn 2.91
Zn 0.5000 0.0000 0.7500  4 Cr 2.85, 4 Pb 2.91, 4 Zn 2.91
Zn 0.5000 0.5000 0.5000  4 Pb 2.85, 4 Cr 2.91, 4 Zn 2.91
Cr 0.0000 0.5000 0.7500  8 Zn 2.85-2.91, 4 Pb 2.91
Cr 0.5000 0.0000 0.2500  8 Zn 2.85-2.91, 4 Pb 2.91
Pb 0.0000 0.0000 0.5000  8 Zn 2.85-2.91, 4 Cr 2.91
Pb 0.5000 0.5000 0.0000  8 Zn 2.85-2.91, 4 Cr 2.91

The density of states at the Fermi level is 1.9 states/eV/f.u. Its energy of formation from the pure elements is 0.96 eV per formula unit. Its space group is I-4m2 (119).

(2)
## LiY2Ni2 (SCAN)

Data for a crystal of LiY2Ni2 relaxed with PBEsol.

abc: 7.2079 7.2079 3.6534
angles: 90.00 90.00 90.00
Last column: nearest neighbours and their distance in Å.
Atoms (fractional coordinates):
Li 0.0000 0.0000 0.0000  4 Ni 2.88
Li 0.5000 0.5000 0.0000  4 Ni 2.88
Y 0.1741 0.3259 0.5000  6 Ni 2.79-2.82
Y 0.3259 0.8259 0.5000  6 Ni 2.79-2.82
Y 0.6741 0.1741 0.5000  6 Ni 2.79-2.82
Y 0.8259 0.6741 0.5000  6 Ni 2.79-2.82
Ni 0.1189 0.6189 0.0000  1 Ni 2.42
Ni 0.3811 0.1189 0.0000  1 Ni 2.42
Ni 0.6189 0.8811 0.0000  1 Ni 2.42
Ni 0.8811 0.3811 0.0000  1 Ni 2.42

The density of states at the Fermi level is 3.0 states/eV/f.u. Its energy of formation from the pure elements is -1.43 eV per formula unit. Its space group is P4/mbm (127).

(3)
## TcAgW (SCAN)

Data for a crystal of TcAgW relaxed with PBEsol.

abc: 3.0730 4.3977 13.8327
angles: 90.00 90.00 90.00
Last column: nearest neighbours and their distance in Å.
Atoms (fractional coordinates):
Tc 0.0000 0.0000 0.0000  2 W 2.59, 4 Tc 2.68, 2 Ag 2.85
Tc 0.0000 0.5000 0.5000  2 W 2.59, 4 Tc 2.68, 2 Ag 2.85
Tc 0.5000 0.0000 0.5000  2 W 2.59, 4 Tc 2.68, 2 Ag 2.85
Tc 0.5000 0.5000 0.0000  2 W 2.59, 4 Tc 2.68, 2 Ag 2.85
Ag 0.0000 0.0000 0.6735  4 Ag 2.68, 2 Tc 2.85, 2 W 2.87
Ag 0.0000 0.5000 0.1735  4 Ag 2.68, 2 Tc 2.85, 2 W 2.87
Ag 0.5000 0.0000 0.1735  4 Ag 2.68, 2 Tc 2.85, 2 W 2.87
Ag 0.5000 0.5000 0.6735  4 Ag 2.68, 2 Tc 2.85, 2 W 2.87
W 0.0000 0.0000 0.3489  2 Tc 2.59, 4 W 2.68, 2 Ag 2.87
W 0.0000 0.5000 0.8489  2 Tc 2.59, 4 W 2.68, 2 Ag 2.87
W 0.5000 0.0000 0.8489  2 Tc 2.59, 4 W 2.68, 2 Ag 2.87
W 0.5000 0.5000 0.3489  2 Tc 2.59, 4 W 2.68, 2 Ag 2.87

The density of states at the Fermi level is 1.8 states/eV/f.u. Its energy of formation from the pure elements is 1.20 eV per formula unit. Its space group is Fmm2 (42).